(1)
The following is a PBE calculation of a relaxed structure of K3In4, from Alexandria via LeMat-Bulk.

VASP energy ... -13.0 eV for the cell shown
N(E_F) ... 4.34 states/eV per cell
Magnetic moment ... 0.0 μB per formula unit

a = 6.6182 Å, b = 6.6182 Å, c = 6.5440 Å
α = 90.00°, β = 90.00°, γ = 120.00°
Space group P6/mmm (No. 191)
One atom of each set of equivalent atoms:
1 K 0.0000 0.5000 0.0000 [3 per cell]
2 In 0.0000 0.0000 0.2798 [2 per cell]
3 In 0.3333 0.6667 0.5000 [2 per cell]



(2)
The following is a PBE calculation of a relaxed structure of Ac4SiAuI2, from Alexandria via LeMat-Bulk.

VASP energy ... -35.4 eV for the cell shown
Formation energy (no corrections) ... -0.8916 eV per atom
N(E_F) ... 6.23 states/eV per cell
Magnetic moment ... 0.0 μB per formula unit

a = 8.254 Å, b = 4.519 Å, c = 8.436 Å
α = 90.00°, β = 107.27°, γ = 90.00°
Space group P2/m (No. 10)
One atom of each set of equivalent atoms:
1 Ac 0.228 0.000 0.206 [2 per cell]
2 Ac 0.268 0.500 0.800 [2 per cell]
3 Si 0.000 0.500 0.000 [1 per cell]
4 Au 0.500 0.000 0.000 [1 per cell]
5 I 0.000 0.000 0.500 [1 per cell]
6 I 0.500 0.500 0.500 [1 per cell]